Density functional theory data (GGA+U) for crystalline Rb2PuNiO6 at its relaxed geometry.

The crystal system is trigonal. Its raw total energy is -6.590 eV/atom.

a b c (Å): 6.2545 6.2545 5.4065
angles (deg): 90.00 90.00 120.00
Space group P-3m1 (No. 164)
Inequivalent atoms, fractional coordinates:
Rb  0.3333  0.6667  0.3040
Pu  0.0000  0.0000  0.0000
Ni  0.0000  0.0000  0.5000
O  0.1407  0.2813  0.7639